Record 1
# UIr6Ru, optimized geometry, DFT PBE
# density of states at the Fermi level: 9.119 states/eV/cell
# calculated formation energy: -0.209 eV/atom
# spin magnetization: 0.00 μB per atom
data_UIr6Ru
_symmetry_space_group_name_H-M 'P 4/m m m'
_symmetry_Int_Tables_number 123
_symmetry_space_group_name_Hall '-P 4 2'
_cell_length_a 5.612
_cell_length_b 5.612
_cell_length_c 3.952
_cell_angle_alpha 90.00
_cell_angle_beta 90.00
_cell_angle_gamma 90.00
loop_
_atom_site_label
_atom_site_type_symbol
_atom_site_fract_x
_atom_site_fract_y
_atom_site_fract_z
U1 U 0.000 0.000 0.000
Ir1 Ir 0.000 0.500 0.000
Ir2 Ir 0.258 0.258 0.500
Ru1 Ru 0.500 0.500 0.000

=====

Record 2
# GePdSe2Br, optimized geometry, DFT PBE
# raw formation energy: 0.5533 eV/atom
# density of states at the Fermi level: 7.029 states/eV/cell
# excess energy over the best structure of this formula in the dataset: 279 meV per atom
# spin magnetization: 0.27 μB per atom
data_GePdSe2Br
_symmetry_space_group_name_H-M 'P 4/m m m'
_symmetry_Int_Tables_number 123
_symmetry_space_group_name_Hall '-P 4 2'
_cell_length_a 5.018
_cell_length_b 5.018
_cell_length_c 5.173
_cell_angle_alpha 90.00
_cell_angle_beta 90.00
_cell_angle_gamma 90.00
loop_
_atom_site_label
_atom_site_type_symbol
_atom_site_fract_x
_atom_site_fract_y
_atom_site_fract_z
Ge1 Ge 0.000 0.000 0.000
Pd1 Pd 0.500 0.500 0.500
Se1 Se 0.000 0.500 0.000
Br1 Br 0.000 0.000 0.500

=====

Record 3
# DyCd2Ga, optimized geometry, DFT PBE
# density of states at the Fermi level: 8.500 states/eV/cell
# excess energy over the best structure of this formula in the dataset: 517 meV per atom
# calculated formation energy: 0.174 eV/atom
# spin magnetization: 0.00 μB per atom
data_DyCd2Ga
_symmetry_space_group_name_H-M 'R -3 m'
_symmetry_Int_Tables_number 166
_symmetry_space_group_name_Hall '-R 3 2"'
_cell_length_a 3.2458
_cell_length_b 3.2458
_cell_length_c 32.9481
_cell_angle_alpha 90.00
_cell_angle_beta 90.00
_cell_angle_gamma 120.00
loop_
_atom_site_label
_atom_site_type_symbol
_atom_site_fract_x
_atom_site_fract_y
_atom_site_fract_z
Dy1 Dy 0.0000 0.0000 0.0000
Cd1 Cd 0.0000 0.0000 0.0948
Ga1 Ga 0.0000 0.0000 0.5000